## one
VASP calculation (PBE-GGA) on crystalline Al2Bi2Cl at its relaxed geometry.

abc: 4.820 4.820 12.037
angles: 90.00 90.00 90.00
Space group I4/mmm (No. 139)
Asymmetric unit:
Al1 0.000 0.000 0.106 [4 per cell]
Bi1 0.000 0.500 0.250 [4 per cell]
Cl1 0.000 0.000 0.500 [2 per cell]

Summary:
calculated density: 6.03 g/cm³



## two
VASP calculation (PBE-GGA) on crystalline Al2Bi2Cl at its relaxed geometry.

abc: 8.618 8.618 3.432
angles: 90.00 90.00 90.00
Space group P4/mbm (No. 127)
Asymmetric unit:
Al1 0.150 0.350 0.000 [4 per cell]
Bi1 0.147 0.647 0.500 [4 per cell]
Cl1 0.000 0.000 0.000 [2 per cell]

Summary:
calculated density: 6.61 g/cm³



Pick one: it beats the second-best structure by 0.069 eV/atom.



## one
VASP calculation (PBE-GGA) on crystalline AlBiPCl2 at its relaxed geometry.

abc: 4.631 4.631 5.046
angles: 90.00 90.00 90.00
Space group P4/mmm (No. 123)
Asymmetric unit:
Al1 0.000 0.000 0.000 [1 per cell]
Bi1 0.500 0.500 0.500 [1 per cell]
P1 0.000 0.000 0.500 [1 per cell]
Cl1 0.000 0.500 0.000 [2 per cell]

Summary:
calculated density: 5.18 g/cm³



## two
VASP calculation (PBE-GGA) on crystalline AlBiPCl2 at its relaxed geometry.

abc: 5.459 5.459 5.437
angles: 90.00 90.00 90.00
Space group P4/mmm (No. 123)
Asymmetric unit:
Al1 0.000 0.000 0.000 [1 per cell]
Bi1 0.500 0.500 0.500 [1 per cell]
P1 0.500 0.500 0.000 [1 per cell]
Cl1 0.000 0.500 0.500 [2 per cell]

Summary:
calculated density: 3.46 g/cm³



Pick one: it beats the second-best structure by 0.448 eV/atom.